1.
Material: LiZnCr3
Method: DFT, PBE
State: relaxed

E above lowest polymorph (kJ/mol of formula units): 0
SG: Pm-3m
Total moment (μB/cell): 13.029
Density of states at the Fermi level (states/eV/f.u.): 2.7

POSCAR file:
```
LiZnCr3
1.0
4.8467 0.0000 0.0000
0.0000 4.8467 0.0000
0.0000 0.0000 4.8467
Li Zn Cr
1 1 3
Cartesian
0.0000 0.0000 0.0000
2.4234 2.4234 2.4234
0.0000 2.4234 2.4234
2.4234 0.0000 2.4234
2.4234 2.4234 0.0000
```



2.
Material: ZrMn2P
Method: DFT, PBE
State: relaxed

E (Ry per atom): -0.613
SG: P4/mmm
Total moment (μB/cell): 4.049
Density of states at the Fermi level (states/eV/f.u.): 5.1

POSCAR file:
```
ZrMn2P
1.0
3.8298 0.0000 0.0000
0.0000 3.8298 0.0000
0.0000 0.0000 3.8892
Zr Mn P
1 2 1
Cartesian
0.0000 0.0000 0.0000
0.0000 1.9149 1.9446
1.9149 0.0000 1.9446
1.9149 1.9149 0.0000
```



3.
Material: BeTePt3
Method: DFT, PBE
State: relaxed

E above lowest polymorph (kJ/mol of formula units): 0
SG: Pm-3m
Total moment (μB/cell): 0.000
Density of states at the Fermi level (states/eV/f.u.): 2.6

POSCAR file:
```
BeTePt3
1.0
4.3724 0.0000 0.0000
0.0000 4.3724 0.0000
0.0000 0.0000 4.3724
Be Te Pt
1 1 3
Cartesian
0.0000 0.0000 0.0000
2.1862 2.1862 2.1862
0.0000 0.0000 2.1862
0.0000 2.1862 0.0000
2.1862 0.0000 0.0000
```